(1)
A plane-wave DFT calculation with PBE was carried out for AcSbH after structural relaxation.

Properties
**VASP energy**: -4.3255 eV per atom
**Space-group type**: I4/mmm (139)

Structure (extended XYZ):
```
6
Lattice="4.128 0.000 -0.839 -0.171 4.124 -0.839 -0.293 -0.305 9.131" Properties=species:S:1:pos:R:3 pbc="T T T"
H 2.064 0.000 -0.420
H -0.085 2.062 -0.420
Ac 1.336 1.392 6.571
Ac 2.328 2.427 0.881
Sb 3.001 3.128 4.192
Sb 0.663 0.691 3.260
```

=====

(2)
A plane-wave DFT calculation with PBE was carried out for NaTlSnBi after structural relaxation.

Properties
**DFT formation energy**: -0.08 eV/atom
**Space-group type**: F-43m (216)

Structure (extended XYZ):
```
4
Lattice="5.500 0.000 0.000 2.750 4.763 0.000 2.750 1.588 4.491" Properties=species:S:1:pos:R:3 pbc="T T T"
Na 8.250 4.763 3.368
Tl 0.000 0.000 0.000
Sn 2.750 1.588 1.123
Bi 5.500 3.176 2.245
```

=====

(3)
A plane-wave DFT calculation with PBE was carried out for Sr2TaTc after structural relaxation.

Properties
**DFT formation energy**: 0.52 eV/atom
**Space-group type**: Imm2 (44)

Structure (extended XYZ):
```
4
Lattice="-3.391 0.491 5.476 -2.233 -5.522 2.499 5.120 3.548 -1.708" Properties=species:S:1:pos:R:3 pbc="T T T"
Sr -0.190 -0.170 0.270
Sr -0.461 0.834 3.764
Ta -2.469 -2.209 3.501
Tc -0.195 -2.453 2.719
```